A plane-wave DFT calculation with PBE-GGA was carried out for crystalline Y2MgAlCo at its relaxed geometry.

Output
The formation energy comes out at -0.137 eV per atom.

abc: 5.1509 5.1509 4.6383
angles: 90.00 90.00 90.00
With the nearest neighbours (Å) after each atom.
Sites, in units of the cell vectors:
Y 0.0000 0.5000 0.0000  2 Co 2.58
Y 0.5000 0.0000 0.0000  2 Co 2.58
Mg 0.0000 0.0000 0.5000  8 Y 3.47, 4 Al 3.64
Al 0.5000 0.5000 0.5000  2 Co 2.32
Co 0.5000 0.5000 0.0000  2 Al 2.32, 4 Y 2.58

A plane-wave DFT calculation with PBE-GGA was carried out for crystalline NbB3P at its relaxed geometry.

Output
The formation energy comes out at 1.222 eV per atom. For the energy above the most stable polymorph in this dataset, the calculation gives 0 meV/atom.

abc: 3.8105 3.8105 3.8105
angles: 90.00 90.00 90.00
With the nearest neighbours (Å) after each atom.
Sites, in units of the cell vectors:
Nb 0.0000 0.0000 0.0000  12 B 2.69
B 0.0000 0.5000 0.5000  2 P 1.91
B 0.5000 0.0000 0.5000  2 P 1.91
B 0.5000 0.5000 0.0000  2 P 1.91
P 0.5000 0.5000 0.5000  6 B 1.91

A plane-wave DFT calculation with PBE-GGA was carried out for crystalline AcLaHgAu at its relaxed geometry.

Output
The formation energy comes out at -0.634 eV per atom. For the energy above the most stable polymorph in this dataset, the calculation gives 0 meV/atom.

abc: 3.9094 3.9094 7.8394
angles: 90.00 90.00 90.00
With the nearest neighbours (Å) after each atom.
Sites, in units of the cell vectors:
Ac 0.0000 0.0000 0.0000  4 Au 3.39, 4 Hg 3.51, 1 La 3.71
La 0.0000 0.0000 0.5271  4 Au 3.27, 4 Hg 3.40
Hg 0.5000 0.5000 0.2750  4 La 3.40, 4 Ac 3.51, 1 Au 3.73
Au 0.5000 0.5000 0.7502  4 La 3.27, 4 Ac 3.39

A plane-wave DFT calculation with PBE-GGA was carried out for crystalline ScFeB4 at its relaxed geometry.

Output
The formation energy comes out at -0.669 eV per atom.

abc: 5.7694 11.1397 3.2221
angles: 90.00 90.00 90.00
With the nearest neighbours (Å) after each atom.
Sites, in units of the cell vectors:
Sc 0.1290 0.1496 0.0000  14 B 2.47-2.62
Sc 0.3710 0.6496 0.0000  14 B 2.47-2.62
Sc 0.6290 0.3504 0.0000  14 B 2.47-2.62
Sc 0.8710 0.8504 0.0000  14 B 2.47-2.62
Fe 0.1339 0.4109 0.0000  10 B 2.13-2.22
Fe 0.3661 0.9109 0.0000  10 B 2.13-2.22
Fe 0.6339 0.0891 0.0000  10 B 2.13-2.22
Fe 0.8661 0.5891 0.0000  10 B 2.13-2.22
B 0.0229 0.6937 0.5000  3 B 1.71-1.80
B 0.1140 0.5478 0.5000  3 B 1.69-1.71
B 0.1351 0.9689 0.5000  3 B 1.69-1.78
B 0.2116 0.8145 0.5000  3 B 1.73-1.80
B 0.2884 0.3145 0.5000  3 B 1.73-1.80
B 0.3649 0.4689 0.5000  3 B 1.69-1.78
B 0.3860 0.0478 0.5000  3 B 1.69-1.71
B 0.4771 0.1937 0.5000  3 B 1.71-1.80
B 0.5229 0.8063 0.5000  3 B 1.71-1.80
B 0.6140 0.9522 0.5000  3 B 1.69-1.71
B 0.6351 0.5311 0.5000  3 B 1.69-1.78
B 0.7116 0.6855 0.5000  3 B 1.73-1.80
B 0.7884 0.1855 0.5000  3 B 1.73-1.80
B 0.8649 0.0311 0.5000  3 B 1.69-1.78
B 0.8860 0.4522 0.5000  3 B 1.69-1.71
B 0.9771 0.3063 0.5000  3 B 1.71-1.80

A plane-wave DFT calculation with PBE-GGA was carried out for crystalline Pm3Nd5Y2 at its relaxed geometry.

Output
The formation energy comes out at 0.329 eV per atom. For the energy above the most stable polymorph in this dataset, the calculation gives 158 meV/atom.

abc: 11.1662 11.1662 11.1662
angles: 107.38 82.68 145.98
With the nearest neighbours (Å) after each atom.
Sites, in units of the cell vectors:
Pm 0.1578 0.6025 0.7603  3 Nd 3.09-3.39
Pm 0.2500 0.2500 0.0000  2 Pm 3.27, 6 Nd 3.30-3.39
Pm 0.3422 0.1025 0.4447  3 Nd 3.09-3.39
Pm 0.6578 0.8975 0.5553  3 Nd 3.09-3.39
Pm 0.7500 0.7500 0.0000  2 Pm 3.27, 6 Nd 3.30-3.39
Pm 0.8422 0.3975 0.2397  3 Nd 3.09-3.39
Nd 0.1579 0.1019 0.2598  3 Pm 3.09-3.39
Nd 0.2500 0.0004 0.7504  3 Nd 3.27-3.31, 1 Pm 3.30
Nd 0.2500 0.4996 0.2496  3 Nd 3.27-3.31, 1 Pm 3.30
Nd 0.2500 0.7500 0.5000  4 Nd 3.27-3.31, 4 Pm 3.39
Nd 0.3421 0.6019 0.9439  3 Pm 3.09-3.39
Nd 0.6579 0.3981 0.0561  3 Pm 3.09-3.39
Nd 0.7500 0.9996 0.2496  3 Nd 3.27-3.31, 1 Pm 3.30
Nd 0.7500 0.2500 0.5000  4 Nd 3.27-3.31, 4 Pm 3.39
Nd 0.7500 0.5004 0.7504  3 Nd 3.27-3.31, 1 Pm 3.30
Nd 0.8421 0.8981 0.7402  3 Pm 3.09-3.39
Y 0.2481 0.3439 0.5921  4 Nd 3.54-3.76, 4 Pm 3.56-3.74
Y 0.2519 0.8439 0.0958  4 Nd 3.54-3.76, 4 Pm 3.56-3.74
Y 0.7481 0.1561 0.9042  4 Nd 3.54-3.76, 4 Pm 3.56-3.74
Y 0.7519 0.6561 0.4079  4 Nd 3.54-3.76, 4 Pm 3.56-3.74

A plane-wave DFT calculation with PBE-GGA was carried out for crystalline U3PaC3 at its relaxed geometry.

Output
The formation energy comes out at 0.186 eV per atom.

abc: 8.9165 8.9165 8.9165
angles: 38.12 38.12 38.12
With the nearest neighbours (Å) after each atom.
Sites, in units of the cell vectors:
U 0.0873 0.3809 0.6745  3 C 2.35-2.38
U 0.3255 0.9127 0.6191  3 C 2.35-2.38
U 0.3809 0.6745 0.0873  3 C 2.35-2.38
U 0.6191 0.3255 0.9127  3 C 2.35-2.38
U 0.6745 0.0873 0.3809  3 C 2.35-2.38
U 0.9127 0.6191 0.3255  3 C 2.35-2.38
Pa 0.1666 0.1666 0.1666  6 C 2.45-2.46
Pa 0.8334 0.8334 0.8334  6 C 2.45-2.46
C 0.0624 0.8071 0.4339  3 U 2.35-2.38, 2 Pa 2.45-2.46
C 0.1929 0.5661 0.9376  3 U 2.35-2.38, 2 Pa 2.45-2.46
C 0.4339 0.0624 0.8071  3 U 2.35-2.38, 2 Pa 2.45-2.46
C 0.5661 0.9376 0.1929  3 U 2.35-2.38, 2 Pa 2.45-2.46
C 0.8071 0.4339 0.0624  3 U 2.35-2.38, 2 Pa 2.45-2.46
C 0.9376 0.1929 0.5661  3 U 2.35-2.38, 2 Pa 2.45-2.46

A plane-wave DFT calculation with PBE-GGA was carried out for crystalline CaAgBi2 at its relaxed geometry.

Output
The formation energy comes out at 0.206 eV per atom.

abc: 9.5973 9.5973 9.5973
angles: 26.05 26.05 26.05
With the nearest neighbours (Å) after each atom.
Sites, in units of the cell vectors:
Ca 0.0000 0.0000 0.0000  2 Bi 3.23
Ag 0.5000 0.5000 0.5000  6 Bi 2.87
Bi 0.1161 0.1161 0.1161  3 Ag 2.87
Bi 0.8839 0.8839 0.8839  3 Ag 2.87

A plane-wave DFT calculation with PBE-GGA was carried out for crystalline MnRe2P at its relaxed geometry.

Output
The formation energy comes out at 0.324 eV per atom.

abc: 4.2353 4.2353 4.2353
angles: 60.00 60.00 60.00
With the nearest neighbours (Å) after each atom.
Sites, in units of the cell vectors:
Mn 0.0000 0.0000 0.0000  4 Re 2.59, 4 P 2.59
Re 0.5000 0.5000 0.5000  4 Re 2.59, 4 P 2.59
Re 0.7500 0.7500 0.7500  4 Re 2.59, 4 Mn 2.59
P 0.2500 0.2500 0.2500  4 Re 2.59, 4 Mn 2.59

A plane-wave DFT calculation with PBE-GGA was carried out for crystalline SrTmTl4 at its relaxed geometry.

Output
The formation energy comes out at -0.065 eV per atom. For the energy above the most stable polymorph in this dataset, the calculation gives 162 meV/atom.

abc: 6.3671 6.3671 6.3671
angles: 60.00 60.00 60.00
With the nearest neighbours (Å) after each atom.
Sites, in units of the cell vectors:
Sr 0.0000 0.0000 0.0000  12 Tl 3.73, 4 Tm 3.90
Tm 0.2500 0.2500 0.2500  12 Tl 3.73, 4 Sr 3.90
Tl 0.1261 0.6246 0.6246  6 Tl 3.17-3.19
Tl 0.6246 0.1261 0.6246  6 Tl 3.17-3.19
Tl 0.6246 0.6246 0.1261  6 Tl 3.17-3.19
Tl 0.6246 0.6246 0.6246  6 Tl 3.17-3.19

A plane-wave DFT calculation with PBE-GGA was carried out for crystalline Zr2TeHS at its relaxed geometry.

abc: 4.7476 4.7476 3.8634
angles: 90.00 90.00 90.00
With the nearest neighbours (Å) after each atom.
Sites, in units of the cell vectors:
Zr 0.0000 0.5000 0.0000  2 H 2.37
Zr 0.5000 0.0000 0.0000  2 H 2.37
Te 0.0000 0.0000 0.5000  2 H 1.93
H 0.0000 0.0000 0.0000  2 Te 1.93
S 0.5000 0.5000 0.5000  8 Zr 3.06, 4 Te 3.36

A plane-wave DFT calculation with PBE-GGA was carried out for crystalline Na2MgB at its relaxed geometry.

Output
The formation energy comes out at 0.926 eV per atom. For the energy above the most stable polymorph in this dataset, the calculation gives 244 meV/atom.

abc: 4.8588 4.8588 4.8588
angles: 60.00 60.00 60.00
With the nearest neighbours (Å) after each atom.
Sites, in units of the cell vectors:
Na 0.2500 0.2500 0.2500  4 Mg 2.98, 4 B 2.98
Na 0.7500 0.7500 0.7500  4 Mg 2.98, 4 B 2.98
Mg 0.0000 0.0000 0.0000  8 Na 2.98
B 0.5000 0.5000 0.5000  8 Na 2.98

A plane-wave DFT calculation with PBE-GGA was carried out for crystalline Sb6IrPt2 at its relaxed geometry.

abc: 6.8815 6.8815 5.2825
angles: 90.00 90.00 120.00
With the nearest neighbours (Å) after each atom.
Sites, in units of the cell vectors:
Sb 0.0000 0.3525 0.2785  2 Pt 2.67, 1 Ir 2.69
Sb 0.0000 0.6475 0.7215  2 Pt 2.67, 1 Ir 2.69
Sb 0.3525 0.0000 0.2785  2 Pt 2.67, 1 Ir 2.69
Sb 0.3525 0.3525 0.7215  2 Pt 2.67, 1 Ir 2.69
Sb 0.6475 0.0000 0.7215  2 Pt 2.67, 1 Ir 2.69
Sb 0.6475 0.6475 0.2785  2 Pt 2.67, 1 Ir 2.69
Ir 0.0000 0.0000 0.5000  6 Sb 2.69
Pt 0.3333 0.6667 0.0000  6 Sb 2.67
Pt 0.6667 0.3333 0.0000  6 Sb 2.67

no.,total magnetization (μB/f.u.),volume (Å³/atom),E (eV per atom)
1,0.00,24.613,-5.21
2,0.00,11.066,-5.88
3,0.00,29.953,-3.79
4,0.00,8.628,-7.59
5,0.00,36.219,-4.77
6,4.39,17.322,-9.96
7,0.00,37.553,-2.95
8,0.00,13.430,-9.55
9,0.00,30.420,-2.67
10,0.00,17.416,-5.76
11,0.00,20.278,-1.80
12,0.00,24.072,-5.43